VASP calculation (PBE) on Pr4GePBr2 after structural relaxation.

Formation energy from raw total energies ... -1.34 eV/atom
Uncorrected energy ... -5.397 eV/atom

```
data_Pr4GePBr2
_chemical_formula_sum 'Pr4 Ge1 P1 Br2'
_space_group_name_H-M_alt 'P 1'
_space_group_IT_number 1
_cell_length_a 4.257
_cell_length_b 7.374
_cell_length_c 7.820
_cell_angle_alpha 108.34
_cell_angle_beta 90.00
_cell_angle_gamma 90.00
loop_
_space_group_symop_operation_xyz
'x,y,z'
loop_
_atom_site_label
_atom_site_fract_x
_atom_site_fract_y
_atom_site_fract_z
Pr1 0.500 0.244 0.209
Pr2 0.500 0.756 0.791
Pr3 0.000 0.272 0.795
Pr4 0.000 0.728 0.205
Ge1 0.000 0.000 0.000
P1 0.500 0.500 0.000
Br1 0.500 0.000 0.500
Br2 0.000 0.500 0.500
```